1.
{
  "formula": "CaTmMgGa",
  "functional": "GGA-PBE",
  "state": "relaxed",
  "vol_a3_per_atom": 25.04,
  "ef_mev_per_atom": -270,
  "e_tot_ev_per_atom": -3.044,
  "dos_at_fermi_per_ev_fu": 1.95,
  "lattice": [[-1.0384, -4.7074, -1.9841], [3.7260, -2.6553, -2.4981], [2.0699, -4.2604, 2.1768]],
  "species": ["Ca", "Tm", "Mg", "Ga"],
  "frac_coords": [[0.5000, 0.5000, 0.5000], [0.0000, 0.0000, 0.0000], [0.7500, 0.7500, 0.7500], [0.2500, 0.2500, 0.2500]]
}



2.
{
  "formula": "PrCu8Rh2",
  "functional": "GGA-PBE",
  "state": "relaxed",
  "vol_a3_per_atom": 16.87,
  "ef_mev_per_atom": 313,
  "e_tot_ev_per_atom": -4.437,
  "dos_at_fermi_per_ev_fu": 5.97,
  "lattice": [[-1.2534, -6.0231, 0.8130], [5.6179, -0.8314, 2.5017], [-1.8012, 0.9640, 4.3653]],
  "species": ["Pr", "Cu", "Cu", "Cu", "Cu", "Cu", "Cu", "Cu", "Cu", "Rh", "Rh"],
  "frac_coords": [[0.5000, 0.5000, 0.5000], [0.8035, 0.8035, 0.2523], [0.8035, 0.1965, 0.7477], [0.8035, 0.8035, 0.7477], [0.8035, 0.1965, 0.2523], [0.1965, 0.8035, 0.2523], [0.1965, 0.8035, 0.7477], [0.1965, 0.1965, 0.2523], [0.1965, 0.1965, 0.7477], [0.5000, 0.0000, 0.0000], [0.0000, 0.5000, 0.0000]]
}



3.
{
  "formula": "HfGa2W2",
  "functional": "GGA-PBE",
  "state": "relaxed",
  "vol_a3_per_atom": 16.44,
  "ef_mev_per_atom": -26,
  "de_polymorph_mev_per_atom": 0,
  "e_tot_ev_per_atom": -8.409,
  "dos_at_fermi_per_ev_fu": 1.49,
  "lattice": [[-4.5350, -4.3827, 2.8534], [1.5702, -4.7437, -4.7905], [2.4731, -1.2351, 2.0337]],
  "species": ["Hf", "Hf", "Ga", "Ga", "Ga", "Ga", "W", "W", "W", "W"],
  "frac_coords": [[0.0000, 0.0000, 0.0000], [0.5000, 0.5000, 0.0000], [0.3737, 0.8737, 0.0000], [0.8737, 0.6263, 0.0000], [0.6263, 0.1263, 0.0000], [0.1263, 0.3737, 0.0000], [0.1725, 0.6725, 0.5000], [0.6725, 0.8275, 0.5000], [0.8275, 0.3275, 0.5000], [0.3275, 0.1725, 0.5000]]
}



4.
{
  "formula": "Pm3PrO6",
  "functional": "GGA-PBE",
  "state": "relaxed",
  "raw_formation_energy_ev_per_atom": -3.35,
  "vol_a3_per_atom": 17.28,
  "de_polymorph_mev_per_atom": 0,
  "e_tot_ev_per_atom": -8.231,
  "dos_at_fermi_per_ev_fu": 0.00,
  "lattice": [[7.0176, -0.0093, -0.1614], [-0.1649, 7.0157, -0.1614], [-0.0090, -0.0093, 7.0195]],
  "species": ["Pm", "Pm", "Pm", "Pm", "Pm", "Pm", "Pr", "Pr", "O", "O", "O", "O", "O", "O", "O", "O", "O", "O", "O", "O"],
  "frac_coords": [[0.4471, 0.9394, 0.7486], [0.9394, 0.7486, 0.4471], [0.2514, 0.5529, 0.0606], [0.7486, 0.4471, 0.9394], [0.0606, 0.2514, 0.5529], [0.5529, 0.0606, 0.2514], [0.0000, 0.0000, 0.0000], [0.5000, 0.5000, 0.5000], [0.3190, 0.9002, 0.0698], [0.0998, 0.9302, 0.6810], [0.6056, 0.8216, 0.4743], [0.9302, 0.6810, 0.0998], [0.4743, 0.6056, 0.8216], [0.1784, 0.5257, 0.3944], [0.8216, 0.4743, 0.6056], [0.5257, 0.3944, 0.1784], [0.0698, 0.3190, 0.9002], [0.3944, 0.1784, 0.5257], [0.9002, 0.0698, 0.3190], [0.6810, 0.0998, 0.9302]]
}



5.
{
  "formula": "ZrVNiRu",
  "functional": "GGA-PBE",
  "state": "relaxed",
  "vol_a3_per_atom": 15.26,
  "ef_mev_per_atom": -203,
  "e_tot_ev_per_atom": -8.384,
  "dos_at_fermi_per_ev_fu": 4.99,
  "lattice": [[4.4191, 0.0000, 0.0000], [2.2095, 3.8270, 0.0000], [2.2095, 1.2757, 3.6082]],
  "species": ["Ru", "V", "Zr", "Ni"],
  "frac_coords": [[0.5000, 0.5000, 0.5000], [0.7500, 0.7500, 0.7500], [0.2500, 0.2500, 0.2500], [0.0000, 0.0000, 0.0000]]
}



6.
{
  "formula": "BPt5",
  "functional": "GGA-PBE",
  "state": "relaxed",
  "vol_a3_per_atom": 16.52,
  "ef_mev_per_atom": -5,
  "de_polymorph_mev_per_atom": 0,
  "e_tot_ev_per_atom": -6.152,
  "dos_at_fermi_per_ev_fu": 5.68,
  "lattice": [[-0.7085, -1.4356, 2.2340], [4.5350, -0.5665, 2.7648], [-0.3366, 5.2772, 4.9749]],
  "species": ["B", "Pt", "Pt", "Pt", "Pt", "Pt"],
  "frac_coords": [[0.0069, 0.9594, 0.0267], [0.4222, 0.8953, 0.2604], [0.6815, 0.1032, 0.5338], [0.6883, 0.7215, 0.9018], [0.9426, 0.5579, 0.5569], [0.4251, 0.2627, 0.8871]]
}



7.
{
  "formula": "LiInPb",
  "functional": "GGA-PBE",
  "state": "relaxed",
  "vol_a3_per_atom": 25.31,
  "ef_mev_per_atom": -150,
  "e_tot_ev_per_atom": -2.937,
  "dos_at_fermi_per_ev_fu": 1.18,
  "lattice": [[5.7839, -0.0904, -0.0481], [-1.7216, 4.2307, -0.0021], [-2.0154, -0.7851, 6.2666]],
  "species": ["Pb", "Pb", "Li", "Li", "In", "In"],
  "frac_coords": [[0.5379, 0.3356, 0.1982], [0.2052, 0.6707, 0.3946], [0.5260, 0.3300, 0.7114], [0.8718, 0.0043, 0.0573], [0.8652, 0.0011, 0.5778], [0.1764, 0.6561, 0.8858]]
}



8.
{
  "formula": "YbInAg2",
  "functional": "GGA-PBE",
  "state": "relaxed",
  "vol_a3_per_atom": 21.94,
  "ef_mev_per_atom": -305,
  "e_tot_ev_per_atom": -2.796,
  "dos_at_fermi_per_ev_fu": 16.47,
  "lattice": [[4.9880, 0.0000, 0.0000], [2.4940, 4.3198, 0.0000], [2.4940, 1.4399, 4.0727]],
  "species": ["Yb", "Ag", "Ag", "In"],
  "frac_coords": [[0.0000, 0.0000, 0.0000], [0.7500, 0.7500, 0.7500], [0.2500, 0.2500, 0.2500], [0.5000, 0.5000, 0.5000]]
}



9.
{
  "formula": "AlPd6Pt2",
  "functional": "GGA-PBE",
  "state": "relaxed",
  "vol_a3_per_atom": 15.23,
  "ef_mev_per_atom": -285,
  "de_polymorph_mev_per_atom": 0,
  "e_tot_ev_per_atom": -5.505,
  "dos_at_fermi_per_ev_fu": 12.46,
  "lattice": [[2.8343, 0.0000, 0.0000], [-1.4171, 7.0549, 0.0215], [0.0000, 1.7603, 6.8612]],
  "species": ["Al", "Pd", "Pd", "Pd", "Pd", "Pd", "Pd", "Pt", "Pt"],
  "frac_coords": [[0.0000, 0.0000, 0.5000], [0.4216, 0.8432, 0.8084], [0.5784, 0.1568, 0.1916], [0.9172, 0.8344, 0.1591], [0.6593, 0.3187, 0.5074], [0.0828, 0.1656, 0.8409], [0.3407, 0.6813, 0.4926], [0.7508, 0.5017, 0.8311], [0.2492, 0.4983, 0.1689]]
}



10.
{
  "formula": "ZnAsHPd4",
  "functional": "GGA-PBE",
  "state": "relaxed",
  "vol_a3_per_atom": 14.10,
  "e_tot_ev_per_atom": -4.547,
  "dos_at_fermi_per_ev_fu": 3.02,
  "lattice": [[-0.4463, -5.3603, 0.6520], [4.2572, -0.7561, -3.3023], [4.3550, 2.9758, 4.9330]],
  "species": ["Zn", "Zn", "As", "As", "H", "H", "Pd", "Pd", "Pd", "Pd", "Pd", "Pd", "Pd", "Pd"],
  "frac_coords": [[0.6096, 0.7500, 0.2192], [0.3904, 0.2500, 0.7808], [0.1164, 0.2500, 0.2327], [0.8836, 0.7500, 0.7673], [0.2385, 0.7500, 0.4769], [0.7615, 0.2500, 0.5231], [0.9358, 0.2500, 0.8715], [0.4241, 0.7500, 0.8482], [0.0642, 0.7500, 0.1285], [0.5759, 0.2500, 0.1518], [0.5000, 0.5000, 0.5000], [0.0000, 0.0000, 0.5000], [0.5000, 0.0000, 0.5000], [0.0000, 0.5000, 0.5000]]
}



11.
{
  "formula": "K2PuPO6",
  "functional": "GGA-PBE",
  "state": "relaxed",
  "raw_formation_energy_ev_per_atom": -2.11,
  "vol_a3_per_atom": 14.25,
  "e_tot_ev_per_atom": -7.281,
  "dos_at_fermi_per_ev_fu": 3.92,
  "lattice": [[5.5866, -0.0003, 0.0004], [-0.0004, 5.5874, 0.0001], [2.7936, 2.7939, 4.5655]],
  "species": ["K", "K", "Pu", "P", "O", "O", "O", "O", "O", "O"],
  "frac_coords": [[0.7500, 0.2500, 0.5000], [0.2500, 0.7500, 0.5000], [0.0000, 0.0000, 0.0000], [0.5000, 0.5000, 0.0000], [0.2078, 0.2078, 0.5846], [0.7060, 0.7059, 0.0000], [0.2941, 0.7059, 0.0000], [0.7059, 0.2941, 0.0000], [0.2940, 0.2941, 0.0000], [0.7922, 0.7922, 0.4154]]
}